An optimized crystal structure of Ba2CoNi, computed with PBE.

Geometry as POSCAR:
```
Ba2CoNi
1.0
-4.094 4.094 3.561
4.094 -4.094 3.561
4.094 4.094 -3.561
Ba Co Ni
4 2 2
direct
0.116 0.625 0.991 Ba
0.375 0.366 0.491 Ba
0.634 0.125 0.009 Ba
0.875 0.884 0.509 Ba
0.250 0.750 0.500 Co
0.500 0.500 0.000 Co
0.000 0.000 0.000 Ni
0.750 0.250 0.500 Ni
```

Computed properties:
- Calculated formation energy: 2.90 eV/f.u.

An optimized crystal structure of TaTl2Pb, computed with PBE.

Geometry as POSCAR:
```
TaTl2Pb
1.0
4.384 0.000 0.000
0.000 4.384 0.000
0.000 0.000 5.168
Ta Tl Pb
1 2 1
direct
0.000 0.000 0.000 Ta
0.000 0.500 0.500 Tl
0.500 0.000 0.500 Tl
0.500 0.500 0.000 Pb
```

Computed properties:
- Calculated formation energy: 3.09 eV/f.u.

An optimized crystal structure of YCrPt2, computed with PBE.

Geometry as POSCAR:
```
YCrPt2
1.0
0.000 3.334 3.334
3.334 0.000 3.334
3.334 3.334 0.000
Y Cr Pt
1 1 2
direct
0.000 0.000 0.000 Y
0.500 0.500 0.500 Cr
0.250 0.250 0.250 Pt
0.750 0.750 0.750 Pt
```

Computed properties:
- Calculated formation energy: -2.35 eV/f.u.